# 1
AcPrSn2Pd5: optimized geometry, GGA-PBE.

volume: 21.9 A^3/atom
energy of formation from the pure elements: -69.0 kJ per mole of atoms

abc: 4.605 4.605 9.315
angles: 90.00 90.00 90.00
Element x y z (fractional)
Ac 0.000 0.000 0.500
Pr 0.000 0.000 0.000
Sn 0.500 0.500 0.150
Sn 0.500 0.500 0.850
Pd 0.000 0.500 0.285
Pd 0.500 0.000 0.285
Pd 0.000 0.500 0.715
Pd 0.500 0.000 0.715
Pd 0.500 0.500 0.500

# 2
Ac2PrSn2Pd7: optimized geometry, GGA-PBE.

volume: 22.9 A^3/atom
energy of formation from the pure elements: -70.2 kJ per mole of atoms

abc: 4.344 4.344 14.701
angles: 84.76 84.76 89.29
Element x y z (fractional)
Ac 0.893 0.893 0.363
Ac 0.107 0.107 0.637
Pr 0.000 0.000 0.000
Sn 0.576 0.576 0.756
Sn 0.424 0.424 0.244
Pd 0.500 0.500 0.000
Pd 0.380 0.380 0.429
Pd 0.620 0.620 0.571
Pd 0.956 0.457 0.141
Pd 0.457 0.956 0.141
Pd 0.543 0.044 0.859
Pd 0.044 0.543 0.859

# 3
AcPrSnPd: optimized geometry, GGA-PBE.

volume: 29.5 A^3/atom
energy of formation from the pure elements: -61.0 kJ per mole of atoms

abc: 5.504 5.504 5.504
angles: 60.00 60.00 60.00
Element x y z (fractional)
Pr 0.500 0.500 0.500
Ac 0.000 0.000 0.000
Sn 0.250 0.250 0.250
Pd 0.750 0.750 0.750

# 4
Ac3Pr3Tl2Pd: optimized geometry, GGA-PBE.

volume: 33.5 A^3/atom
energy of formation from the pure elements: -34.0 kJ per mole of atoms

abc: 4.058 9.258 9.258
angles: 120.00 90.00 90.00
Element x y z (fractional)
Ac 0.500 0.750 0.000
Ac 0.500 0.000 0.750
Ac 0.500 0.250 0.250
Pr 0.000 0.595 0.595
Pr 0.000 0.000 0.405
Pr 0.000 0.405 0.000
Tl 0.500 0.667 0.333
Tl 0.500 0.333 0.667
Pd 0.000 0.000 0.000